VASP calculation (PBE-GGA) on a geometry-optimized KSrPd2 structure.

Calculated values
- calculated formation energy (eV per atom) = -0.09
- DOS at the Fermi energy (states/eV/cell) = 12.47
- E (eV per atom) = -3.379

a b c (Å): 7.4863 7.4863 7.4863
angles (deg): 90.00 90.00 90.00
Last column: nearest neighbours and their distance in Å.
Space group Fm-3m (No. 225)
Asymmetric unit:
K (0.0000, 0.0000, 0.0000)  8 Pd 3.24
Sr (0.0000, 0.0000, 0.5000)  8 Pd 3.24
Pd (0.2500, 0.2500, 0.2500)  4 K 3.24, 4 Sr 3.24